a) The following is a PBE calculation of crystalline PuTlI4 at its relaxed geometry, from Alexandria via LeMat-Bulk.

Computed properties:
The value obtained for the total magnetization is 5.0 μB/f.u. The calculation puts the density of states at the Fermi level at 13.03 states/eV/f.u.

CIF file:
```
data_PuTlI4
_symmetry_space_group_name_H-M 'C 1 2/m 1'
_symmetry_Int_Tables_number 12
_symmetry_space_group_name_Hall '-C 2y'
_cell_length_a 14.8106
_cell_length_b 4.6247
_cell_length_c 8.7420
_cell_angle_alpha 90.00
_cell_angle_beta 101.83
_cell_angle_gamma 90.00
loop_
_atom_site_label
_atom_site_fract_x
_atom_site_fract_y
_atom_site_fract_z
Pu1 0.0000 0.0000 0.0000
Tl1 0.0000 0.5000 0.5000
I1 0.1191 0.5000 0.8987
I2 0.1244 0.0000 0.3256
```


b) The following is a PBE calculation of crystalline PuTlI4 at its relaxed geometry, from Alexandria via LeMat-Bulk.

Computed properties:
The value obtained for the total magnetization is 5.0 μB/f.u. The calculation puts the density of states at the Fermi level at 12.99 states/eV/f.u.

CIF file:
```
data_PuTlI4
_symmetry_space_group_name_H-M 'C 1 2/c 1'
_symmetry_Int_Tables_number 15
_symmetry_space_group_name_Hall '-C 2yc'
_cell_length_a 10.3656
_cell_length_b 15.0187
_cell_length_c 7.5112
_cell_angle_alpha 90.00
_cell_angle_beta 121.87
_cell_angle_gamma 90.00
loop_
_atom_site_label
_atom_site_fract_x
_atom_site_fract_y
_atom_site_fract_z
Pu1 0.0000 0.0111 0.2500
Tl1 0.0000 0.3674 0.2500
I1 0.1090 0.1658 0.5855
I2 0.2182 0.4364 0.7977
```


Relative energy of each structure, in meV/atom: a) 0; b) 52.


a) The following is a PBE calculation of crystalline PuZnI6 at its relaxed geometry, from Alexandria via LeMat-Bulk.

Computed properties:
The value obtained for the total magnetization is 4.0 μB/f.u. The calculation puts the density of states at the Fermi level at 10.13 states/eV/f.u.

CIF file:
```
data_PuZnI6
_symmetry_space_group_name_H-M 'R -3'
_symmetry_Int_Tables_number 148
_symmetry_space_group_name_Hall '-R 3'
_cell_length_a 7.4083
_cell_length_b 7.4083
_cell_length_c 20.2826
_cell_angle_alpha 90.00
_cell_angle_beta 90.00
_cell_angle_gamma 120.00
loop_
_atom_site_label
_atom_site_fract_x
_atom_site_fract_y
_atom_site_fract_z
Pu1 0.0000 0.0000 0.0000
Zn1 0.0000 0.0000 0.5000
I1 0.0079 0.3519 0.2474
```


b) The following is a PBE calculation of crystalline PuZnI6 at its relaxed geometry, from Alexandria via LeMat-Bulk.

Computed properties:
The value obtained for the total magnetization is 4.0 μB/f.u. The calculation puts the density of states at the Fermi level at 10.87 states/eV/f.u.

CIF file:
```
data_PuZnI6
_symmetry_space_group_name_H-M 'C 1 2/m 1'
_symmetry_Int_Tables_number 12
_symmetry_space_group_name_Hall '-C 2y'
_cell_length_a 7.4527
_cell_length_b 13.7875
_cell_length_c 7.4564
_cell_angle_alpha 90.00
_cell_angle_beta 110.62
_cell_angle_gamma 90.00
loop_
_atom_site_label
_atom_site_fract_x
_atom_site_fract_y
_atom_site_fract_z
Pu1 0.0000 0.0000 0.0000
Zn1 0.0000 0.5000 0.5000
I1 0.2282 0.3541 0.7300
I2 0.2396 0.0000 0.7586
```


Relative energy of each structure, in meV/atom: a) 17; b) 0.


a) The following is a PBE calculation of crystalline RbI2 at its relaxed geometry, from Alexandria via LeMat-Bulk.

Computed properties:
The value obtained for the total magnetization is 0.0 μB/f.u.

CIF file:
```
data_RbI2
_symmetry_space_group_name_H-M 'P n m a'
_symmetry_Int_Tables_number 62
_symmetry_space_group_name_Hall '-P 2ac 2n'
_cell_length_a 9.2026
_cell_length_b 5.4895
_cell_length_c 11.8314
_cell_angle_alpha 90.00
_cell_angle_beta 90.00
_cell_angle_gamma 90.00
loop_
_atom_site_label
_atom_site_fract_x
_atom_site_fract_y
_atom_site_fract_z
Rb1 0.1417 0.2500 0.1561
I1 0.0415 0.2500 0.4766
I2 0.1360 0.2500 0.8364
```


b) The following is a PBE calculation of crystalline RbI2 at its relaxed geometry, from Alexandria via LeMat-Bulk.

Computed properties:
The value obtained for the total magnetization is 1.0 μB/f.u. The calculation puts the density of states at the Fermi level at 0.81 states/eV/f.u.

CIF file:
```
data_RbI2
_symmetry_space_group_name_H-M 'C 1 2/m 1'
_symmetry_Int_Tables_number 12
_symmetry_space_group_name_Hall '-C 2y'
_cell_length_a 7.0050
_cell_length_b 7.0045
_cell_length_c 7.0127
_cell_angle_alpha 90.00
_cell_angle_beta 119.85
_cell_angle_gamma 90.00
loop_
_atom_site_label
_atom_site_fract_x
_atom_site_fract_y
_atom_site_fract_z
Rb1 0.0000 0.0000 0.0000
I1 0.1334 0.5000 0.2676
```


Relative energy of each structure, in meV/atom: a) 0; b) 92.


a) The following is a PBE calculation of crystalline RbI4 at its relaxed geometry, from Alexandria via LeMat-Bulk.

Computed properties:
The value obtained for the total magnetization is 0.0 μB/f.u. The calculation puts the density of states at the Fermi level at 1.31 states/eV/f.u.

CIF file:
```
data_RbI4
_symmetry_space_group_name_H-M 'P 1'
_symmetry_Int_Tables_number 1
_symmetry_space_group_name_Hall 'P 1'
_cell_length_a 6.1301
_cell_length_b 9.5346
_cell_length_c 10.3403
_cell_angle_alpha 76.41
_cell_angle_beta 89.93
_cell_angle_gamma 79.16
loop_
_atom_site_label
_atom_site_fract_x
_atom_site_fract_y
_atom_site_fract_z
Rb1 0.0000 0.0000 0.0000
Rb2 0.4984 0.0005 0.5004
I1 0.0690 0.7602 0.5501
I2 0.1653 0.2529 0.1977
I3 0.1892 0.2452 0.7001
I4 0.3370 0.7106 0.3121
I5 0.5704 0.7597 0.0507
I6 0.6680 0.2440 0.1948
I7 0.6869 0.2530 0.6928
I8 0.8366 0.7106 0.8119
```


b) The following is a PBE calculation of crystalline RbI4 at its relaxed geometry, from Alexandria via LeMat-Bulk.

Computed properties:
The value obtained for the total magnetization is 0.0 μB/f.u. The calculation puts the density of states at the Fermi level at 0.00 states/eV/f.u.

CIF file:
```
data_RbI4
_symmetry_space_group_name_H-M 'I 4/m m m'
_symmetry_Int_Tables_number 139
_symmetry_space_group_name_Hall '-I 4 2'
_cell_length_a 9.1403
_cell_length_b 9.1403
_cell_length_c 13.1254
_cell_angle_alpha 90.00
_cell_angle_beta 90.00
_cell_angle_gamma 90.00
loop_
_atom_site_label
_atom_site_fract_x
_atom_site_fract_y
_atom_site_fract_z
Rb1 0.0000 0.5000 0.2500
I1 0.0000 0.0000 0.0000
I2 0.0000 0.0000 0.2235
I3 0.0000 0.0000 0.5000
I4 0.2305 0.2305 0.5000
```


c) The following is a PBE calculation of crystalline RbI4 at its relaxed geometry, from Alexandria via LeMat-Bulk.

Computed properties:
The value obtained for the total magnetization is 3.0 μB/f.u. The calculation puts the density of states at the Fermi level at 14.01 states/eV/f.u.

CIF file:
```
data_RbI4
_symmetry_space_group_name_H-M 'P m -3 m'
_symmetry_Int_Tables_number 221
_symmetry_space_group_name_Hall '-P 4 2 3'
_cell_length_a 7.0321
_cell_length_b 7.0321
_cell_length_c 7.0321
_cell_angle_alpha 90.00
_cell_angle_beta 90.00
_cell_angle_gamma 90.00
loop_
_atom_site_label
_atom_site_fract_x
_atom_site_fract_y
_atom_site_fract_z
Rb1 0.0000 0.0000 0.0000
I1 0.0000 0.0000 0.5000
I2 0.5000 0.5000 0.5000
```


Relative energy of each structure, in meV/atom: a) 0; b) 82; c) 662.